# LaPm5Tm3

Crystalline LaPm5Tm3 at its relaxed geometry (PBE, the Alexandria database).

Structure (extended XYZ):
```
18
Lattice="-3.2322 0.5094 5.5736 -3.6941 -10.0983 -4.9666 9.6813 2.2428 5.4092" Properties=species:S:1:pos:R:3 pbc="T T T"
Pm 3.3455 -1.7477 4.3269
Tm 0.3138 -2.3497 2.6405
Pm -0.5904 -5.5983 1.6895
La 1.9570 0.6337 2.1513
La 4.4921 2.1185 8.8316
Pm -4.3081 -6.2849 0.5080
Pm 5.9862 1.8830 6.2551
Tm 2.4413 -4.9964 3.3758
Tm 3.8576 -1.0239 7.5814
Pm 2.6302 -5.4941 -0.4045
Pm 0.4629 0.8692 4.7278
Pm 5.5615 -4.6836 2.1330
Pm 0.1249 -1.8520 6.4208
Tm 4.8407 1.1214 2.7046
Tm 0.0000 0.0000 0.0000
Pm 7.0631 -1.0612 5.5083
Tm -1.1026 -6.3221 -1.5650
Pm -2.8064 -2.6625 3.8834
```

Computed properties:
The excess energy over the best structure of this formula in the dataset is 16 meV/atom. The symmetry is C2/c, No. 15. The formation energy comes out at 0.2885 eV/atom. The mass density comes out at 7.3 Mg/m³.